NaSiGe2N | SCAN | single point on PBEsol structure

Symmetry = P4/mmm
Density of states at the Fermi level = 2.3 states/eV/f.u.
Uncorrected formation energy = 9.0 eV/f.u.

```
5
Lattice="-3.184 -1.717 -1.567 1.262 -4.271 2.116 -2.620 1.208 3.999" Properties=species:S:1:pos:R:3 pbc="T T T"
Ge -1.310 0.604 1.999
Si -2.271 -2.390 2.274
Ge 0.631 -2.135 1.058
Na 0.000 0.000 0.000
N -1.592 -0.858 -0.783
```

=====

NaGeTe2N | SCAN | single point on PBEsol structure

Distance to the lowest polymorph of the same formula = 0 meV per atom
Symmetry = P4/mmm
Density of states at the Fermi level = 2.5 states/eV/f.u.
Uncorrected formation energy = 1.2 eV/f.u.

```
5
Lattice="-1.820 2.055 2.107 -4.887 -2.818 -1.472 0.841 -3.749 4.384" Properties=species:S:1:pos:R:3 pbc="T T T"
Na -2.933 -2.256 2.509
Te 0.421 -1.875 2.192
Ge 0.000 0.000 0.000
N -0.910 1.027 1.053
Te -2.443 -1.409 -0.736
```

=====

Look up the density of states at the Fermi level of the first one. 2.3 states/eV/f.u.